No. 1
This record from the Alexandria database describes crystalline Er3Ga8Tc3 at its relaxed geometry. The functional is PBE-GGA.

a b c (Å): 8.089 8.089 8.089
angles (deg): 149.18 109.20 79.18
Atoms (fractional coordinates):
Er: 0.000 0.000 0.000
Er: 0.296 0.296 0.000
Er: 0.704 0.704 0.000
Ga: 0.012 0.649 0.363
Ga: 0.153 0.865 0.289
Ga: 0.286 0.649 0.637
Ga: 0.424 0.135 0.289
Ga: 0.576 0.865 0.711
Ga: 0.714 0.351 0.363
Ga: 0.847 0.135 0.711
Ga: 0.988 0.351 0.637
Tc: 0.333 0.500 0.833
Tc: 0.500 0.000 0.500
Tc: 0.667 0.500 0.167

M_tot = 0.00 Bohr magnetons per cell
Formation energy from the elements = -0.458 eV per atom
E_tot = -5.387 eV/atom



No. 2
This record from the Alexandria database describes crystalline Er3Ga12Tc at its relaxed geometry. The functional is PBE-GGA.

a b c (Å): 4.247 4.247 16.123
angles (deg): 90.00 90.00 90.00
Atoms (fractional coordinates):
Er: 0.000 0.000 0.000
Er: 0.000 0.000 0.266
Er: 0.000 0.000 0.734
Ga: 0.000 0.500 0.131
Ga: 0.000 0.500 0.395
Ga: 0.000 0.500 0.605
Ga: 0.000 0.500 0.869
Ga: 0.500 0.000 0.131
Ga: 0.500 0.000 0.395
Ga: 0.500 0.000 0.605
Ga: 0.500 0.000 0.869
Ga: 0.500 0.500 0.000
Ga: 0.500 0.500 0.259
Ga: 0.500 0.500 0.500
Ga: 0.500 0.500 0.741
Tc: 0.000 0.000 0.500

M_tot = 0.00 Bohr magnetons per cell
Formation energy from the elements = -0.391 eV per atom
E_tot = -4.164 eV/atom



No. 3
This record from the Alexandria database describes crystalline ErThGaTc at its relaxed geometry. The functional is PBE-GGA.

a b c (Å): 3.968 6.079 6.079
angles (deg): 39.24 90.00 90.00
Atoms (fractional coordinates):
Er: 0.000 0.000 0.000
Th: 0.500 0.723 0.723
Ga: 0.500 0.428 0.428
Tc: 0.000 0.271 0.271

M_tot = 0.00 Bohr magnetons per cell
Formation energy from the elements = -0.394 eV per atom
E_tot = -6.738 eV/atom
Energy above the lowest structure with this stoichiometry = 0.0 kJ per mole of atoms



No. 4
This record from the Alexandria database describes crystalline ErThGaTc at its relaxed geometry. The functional is PBE-GGA.

a b c (Å): 5.032 5.032 5.032
angles (deg): 60.00 60.00 60.00
Atoms (fractional coordinates):
Er: 0.000 0.000 0.000
Th: 0.500 0.500 0.500
Ga: 0.250 0.250 0.250
Tc: 0.750 0.750 0.750

M_tot = 0.00 Bohr magnetons per cell
Formation energy from the elements = -0.248 eV per atom
E_tot = -6.592 eV/atom
Energy above the lowest structure with this stoichiometry = 14.1 kJ per mole of atoms



No. 5
This record from the Alexandria database describes crystalline ErTmGaTc at its relaxed geometry. The functional is PBE-GGA.

a b c (Å): 4.893 4.893 4.893
angles (deg): 60.00 60.00 60.00
Atoms (fractional coordinates):
Er: 0.000 0.000 0.000
Tm: 0.500 0.500 0.500
Ga: 0.750 0.750 0.750
Tc: 0.250 0.250 0.250

M_tot = 0.00 Bohr magnetons per cell
Formation energy from the elements = -0.282 eV per atom
E_tot = -5.889 eV/atom



No. 6
This record from the Alexandria database describes crystalline ErUGaTc at its relaxed geometry. The functional is PBE-GGA.

a b c (Å): 4.777 4.777 4.777
angles (deg): 60.00 60.00 60.00
Atoms (fractional coordinates):
Er: 0.000 0.000 0.000
U: 0.250 0.250 0.250
Ga: 0.750 0.750 0.750
Tc: 0.500 0.500 0.500

M_tot = 1.35 Bohr magnetons per cell
Formation energy from the elements = 0.051 eV per atom
E_tot = -7.260 eV/atom



No. 7
This record from the Alexandria database describes crystalline YErGaTc at its relaxed geometry. The functional is PBE-GGA.

a b c (Å): 4.934 4.934 4.934
angles (deg): 60.00 60.00 60.00
Atoms (fractional coordinates):
Y: 0.000 0.000 0.000
Er: 0.500 0.500 0.500
Ga: 0.750 0.750 0.750
Tc: 0.250 0.250 0.250

M_tot = 0.00 Bohr magnetons per cell
Formation energy from the elements = -0.254 eV per atom
E_tot = -6.359 eV/atom



No. 8
This record from the Alexandria database describes crystalline ErZrGaTc at its relaxed geometry. The functional is PBE-GGA.

a b c (Å): 4.804 4.804 4.804
angles (deg): 60.00 60.00 60.00
Atoms (fractional coordinates):
Er: 0.000 0.000 0.000
Zr: 0.500 0.500 0.500
Ga: 0.750 0.750 0.750
Tc: 0.250 0.250 0.250

M_tot = 0.00 Bohr magnetons per cell
Formation energy from the elements = -0.332 eV per atom
E_tot = -6.958 eV/atom



No. 9
This record from the Alexandria database describes crystalline Er4GaTe at its relaxed geometry. The functional is PBE-GGA.

a b c (Å): 5.840 8.579 7.610
angles (deg): 90.00 106.93 90.00
Atoms (fractional coordinates):
Er: 0.031 0.052 0.240
Er: 0.031 0.448 0.240
Er: 0.414 0.250 0.011
Er: 0.430 0.750 0.484
Er: 0.570 0.250 0.516
Er: 0.586 0.750 0.989
Er: 0.969 0.552 0.760
Er: 0.969 0.948 0.760
Ga: 0.137 0.750 0.075
Ga: 0.863 0.250 0.925
Te: 0.102 0.250 0.590
Te: 0.898 0.750 0.410

Raw formation energy = -0.3623 eV/atom
M_tot = 0.00 Bohr magnetons per cell
E_tot = -4.432 eV/atom
Energy above the lowest structure with this stoichiometry = 25.4 kJ per mole of atoms



No. 10
This record from the Alexandria database describes crystalline Er6Ga3Te at its relaxed geometry. The functional is PBE-GGA.

a b c (Å): 8.776 8.776 7.330
angles (deg): 90.00 90.00 106.95
Atoms (fractional coordinates):
Er: 0.015 0.985 0.500
Er: 0.100 0.517 0.999
Er: 0.256 0.332 0.365
Er: 0.285 0.715 0.409
Er: 0.332 0.256 0.865
Er: 0.483 0.900 0.999
Er: 0.517 0.100 0.499
Er: 0.668 0.744 0.365
Er: 0.715 0.285 0.909
Er: 0.744 0.668 0.865
Er: 0.900 0.483 0.499
Er: 0.985 0.015 0.000
Ga: 0.023 0.268 0.719
Ga: 0.268 0.023 0.219
Ga: 0.443 0.557 0.095
Ga: 0.557 0.443 0.595
Ga: 0.732 0.977 0.719
Ga: 0.977 0.732 0.219
Te: 0.173 0.827 0.767
Te: 0.827 0.173 0.267

Raw formation energy = -0.4585 eV/atom
M_tot = 0.00 Bohr magnetons per cell
E_tot = -4.418 eV/atom



No. 11
This record from the Alexandria database describes crystalline Er2GaTe at its relaxed geometry. The functional is PBE-GGA.

a b c (Å): 11.797 11.797 4.116
angles (deg): 90.00 90.00 158.86
Atoms (fractional coordinates):
Er: 0.062 0.938 0.750
Er: 0.335 0.665 0.750
Er: 0.665 0.335 0.250
Er: 0.938 0.062 0.250
Ga: 0.462 0.538 0.750
Ga: 0.538 0.462 0.250
Te: 0.195 0.805 0.750
Te: 0.805 0.195 0.250

Raw formation energy = -0.9819 eV/atom
M_tot = 0.00 Bohr magnetons per cell
E_tot = -4.805 eV/atom
Energy above the lowest structure with this stoichiometry = 0.0 kJ per mole of atoms



No. 12
This record from the Alexandria database describes crystalline Er2GaTe at its relaxed geometry. The functional is PBE-GGA.

a b c (Å): 7.853 7.853 7.853
angles (deg): 30.02 30.02 30.02
Atoms (fractional coordinates):
Er: 0.244 0.244 0.244
Er: 0.756 0.756 0.756
Ga: 0.500 0.500 0.500
Te: 0.000 0.000 0.000

Raw formation energy = -0.9035 eV/atom
M_tot = 0.00 Bohr magnetons per cell
E_tot = -4.727 eV/atom
Energy above the lowest structure with this stoichiometry = 7.6 kJ per mole of atoms



> Number 1 is which compound?

Er3Ga8Tc3